[1]
Entry from Alexandria via LeMat-Bulk: a geometry-optimized Li3Sc2BiTe6 structure (PBE).

Unit cell a=7.3913 b=7.3913 c=7.4157 alpha=99.64 beta=99.64 gamma=120.09
Element x y z (fractional)
Li1 0.8452 0.1548 0.5000
Li2 0.5000 0.5000 0.5000
Li3 0.1548 0.8452 0.5000
Te1 0.5665 0.9156 0.7502
Te2 0.2670 0.2670 0.7527
Te3 0.9156 0.5665 0.7502
Te4 0.7330 0.7330 0.2473
Te5 0.0844 0.4335 0.2498
Te6 0.4335 0.0844 0.2498
Bi1 0.0000 0.0000 0.0000
Sc1 0.3313 0.6687 0.0000
Sc2 0.6687 0.3313 0.0000

Output
Space-group type = No. 12
Formation energy (no corrections) = -946 meV per atom

=====

[2]
Entry from Alexandria via LeMat-Bulk: a geometry-optimized NdDy2Hg structure (PBE).

Unit cell a=3.6533 b=3.6533 c=8.8809 alpha=90.00 beta=90.00 gamma=90.00
Element x y z (fractional)
Dy1 0.0000 0.0000 0.7835
Dy2 0.0000 0.0000 0.2165
Hg1 0.5000 0.5000 0.0000
Nd1 0.5000 0.5000 0.5000

Output
Space-group type = No. 123
E_form = -0.23 eV per atom
DOS at the Fermi energy = 1.234 states/eV per atom

=====

[3]
Entry from Alexandria via LeMat-Bulk: a geometry-optimized AcDy2Ru structure (PBE).

Unit cell a=3.5151 b=3.5151 c=9.3236 alpha=90.00 beta=90.00 gamma=90.00
Element x y z (fractional)
Dy1 0.0000 0.0000 0.8270
Dy2 0.0000 0.0000 0.1730
Ru1 0.5000 0.5000 0.0000
Ac1 0.5000 0.5000 0.5000

Output
Space-group type = No. 123
E_form = -0.18 eV per atom
DOS at the Fermi energy = 0.723 states/eV per atom

=====

[4]
Entry from Alexandria via LeMat-Bulk: a geometry-optimized MnAlTe2As structure (PBE).

Unit cell a=5.3460 b=5.3460 c=4.6682 alpha=90.00 beta=90.00 gamma=90.00
Site moments in Bohr magnetons follow the coordinates.
Element x y z (fractional)
Mn1 0.5000 0.5000 0.5000  0.00
As1 0.0000 0.0000 0.5000  -0.06
Te1 0.0000 0.5000 0.0000  -0.01
Te2 0.5000 0.0000 0.0000  -0.01
Al1 0.0000 0.0000 0.0000  0.00

Output
Space-group type = No. 123
Formation energy (no corrections) = 1100 meV per atom
DOS at the Fermi energy = 1.739 states/eV per atom

=====

What is the formula in the second record?
NdDy2Hg